The following is a DFT calculation (PBE-GGA) of Li6Cu23 after structural relaxation.

Calculated values
- Theoretical density: 6.3 g/cm3
- Formation enthalpy at 0 K: 0.39 eV/f.u.
- Total moment: 0.0 μB/f.u.
- SG: Fm-3m (225)
- Total energy: -105.30 eV per cell

Unit cell a=8.2621 b=8.2621 c=8.2621 alpha=60.00 beta=60.00 gamma=60.00
Closest atoms and distances in Å follow each position.
Sites, in units of the cell vectors:
Li  0.2166  0.7834  0.7834  12 Cu 2.75-2.95
Li  0.7834  0.2166  0.2166  12 Cu 2.75-2.95
Li  0.2166  0.2166  0.7834  12 Cu 2.75-2.95
Li  0.7834  0.7834  0.2166  12 Cu 2.75-2.95
Li  0.2166  0.7834  0.2166  12 Cu 2.75-2.95
Li  0.7834  0.2166  0.7834  12 Cu 2.75-2.95
Cu  0.5000  0.5000  0.5000  8 Cu 2.43
Cu  0.5000  0.0000  0.0000  8 Cu 2.39-2.56
Cu  0.0000  0.5000  0.5000  8 Cu 2.39-2.56
Cu  0.5000  0.5000  0.0000  8 Cu 2.39-2.56
Cu  0.0000  0.0000  0.5000  8 Cu 2.39-2.56
Cu  0.5000  0.0000  0.5000  8 Cu 2.39-2.56
Cu  0.0000  0.5000  0.0000  8 Cu 2.39-2.56
Cu  0.1398  0.6201  0.6201  7 Cu 2.43-2.58
Cu  0.6201  0.6201  0.1398  7 Cu 2.43-2.58
Cu  0.6201  0.1398  0.6201  7 Cu 2.43-2.58
Cu  0.6201  0.6201  0.6201  7 Cu 2.43-2.58
Cu  0.3799  0.3799  0.8602  7 Cu 2.43-2.58
Cu  0.8602  0.3799  0.3799  7 Cu 2.43-2.58
Cu  0.3799  0.8602  0.3799  7 Cu 2.43-2.58
Cu  0.3799  0.3799  0.3799  7 Cu 2.43-2.58
Cu  0.5149  0.8284  0.8284  9 Cu 2.39-2.59
Cu  0.8284  0.8284  0.5149  9 Cu 2.39-2.59
Cu  0.8284  0.5149  0.8284  9 Cu 2.39-2.59
Cu  0.8284  0.8284  0.8284  9 Cu 2.39-2.59
Cu  0.1716  0.1716  0.4851  9 Cu 2.39-2.59
Cu  0.4851  0.1716  0.1716  9 Cu 2.39-2.59
Cu  0.1716  0.4851  0.1716  9 Cu 2.39-2.59
Cu  0.1716  0.1716  0.1716  9 Cu 2.39-2.59